P | # MnOsN2 PBE-GGA optimized geometry
data_MnOsN2
_chemical_formula_sum 'Mn4 Os4 N8'
_symmetry_space_group_name_H-M 'P n a 21'
_symmetry_Int_Tables_number 33
_cell_length_a 5.182
_cell_length_b 6.352
_cell_length_c 5.213
_cell_angle_alpha 90.00
_cell_angle_beta 90.00
_cell_angle_gamma 90.00
loop_
_symmetry_equiv_pos_as_xyz
'x,y,z'
'-x,-y,z+1/2'
'-x+1/2,y+1/2,z+1/2'
'x+1/2,-y+1/2,z'
loop_
_atom_site_label
_atom_site_type_symbol
_atom_site_fract_x
_atom_site_fract_y
_atom_site_fract_z
_atom_site_occupancy
Mn1 Mn 0.127 0.117 0.000 1
Os1 Os 0.061 0.662 0.006 1
N1 N 0.038 0.633 0.385 1
N2 N 0.089 0.083 0.353 1
# Calculated density (Mg/m³): 10.6
# Calculated volume (A^3/atom): 10.7

Q | # MnOsN2 PBE-GGA optimized geometry
data_MnOsN2
_chemical_formula_sum 'Mn3 Os3 N6'
_symmetry_space_group_name_H-M 'R -3 m'
_symmetry_Int_Tables_number 166
_symmetry_space_group_name_Hall '-R 3 2"'
_cell_length_a 2.6868
_cell_length_b 2.6868
_cell_length_c 19.0139
_cell_angle_alpha 90.00
_cell_angle_beta 90.00
_cell_angle_gamma 120.00
loop_
_atom_site_label
_atom_site_type_symbol
_atom_site_fract_x
_atom_site_fract_y
_atom_site_fract_z
_atom_site_occupancy
Mn1 Mn 0.0000 0.0000 0.0000 1
Os1 Os 0.0000 0.0000 0.5000 1
N1 N 0.0000 0.0000 0.3967 1
# Calculated density (Mg/m³): 11.4
# Calculated volume (A^3/atom): 9.9

R | # MnOsN2 PBE-GGA optimized geometry
data_MnOsN2
_chemical_formula_sum 'Mn4 Os4 N8'
_symmetry_space_group_name_H-M 'I -4 2 d'
_symmetry_Int_Tables_number 122
_symmetry_space_group_name_Hall 'I -4 2bw'
_cell_length_a 4.460
_cell_length_b 4.460
_cell_length_c 8.913
_cell_angle_alpha 90.00
_cell_angle_beta 90.00
_cell_angle_gamma 90.00
loop_
_atom_site_label
_atom_site_type_symbol
_atom_site_fract_x
_atom_site_fract_y
_atom_site_fract_z
_atom_site_occupancy
Mn1 Mn 0.000 0.000 0.000 1
Os1 Os 0.000 0.000 0.500 1
N1 N 0.230 0.250 0.125 1
# Calculated density (Mg/m³): 10.2
# Calculated volume (A^3/atom): 11.1

S | # MnOsN2 PBE-GGA optimized geometry
data_MnOsN2
_chemical_formula_sum 'Mn4 Os4 N8'
_symmetry_space_group_name_H-M 'F m -3 m'
_symmetry_Int_Tables_number 225
_symmetry_space_group_name_Hall '-F 4 2 3'
_cell_length_a 5.344
_cell_length_b 5.344
_cell_length_c 5.344
_cell_angle_alpha 90.00
_cell_angle_beta 90.00
_cell_angle_gamma 90.00
loop_
_atom_site_label
_atom_site_type_symbol
_atom_site_fract_x
_atom_site_fract_y
_atom_site_fract_z
_atom_site_occupancy
Mn1 Mn 0.000 0.000 0.000 1
Os1 Os 0.000 0.000 0.500 1
N1 N 0.250 0.250 0.250 1
# Calculated density (Mg/m³): 11.9
# Calculated volume (A^3/atom): 9.5

Most stable one: R, least stable one: S.

P | # MnOsS2N PBE-GGA optimized geometry
data_MnOsS2N
_chemical_formula_sum 'Mn1 Os1 S2 N1'
_symmetry_space_group_name_H-M 'P 4/m m m'
_symmetry_Int_Tables_number 123
_symmetry_space_group_name_Hall '-P 4 2'
_cell_length_a 4.841
_cell_length_b 4.841
_cell_length_c 3.672
_cell_angle_alpha 90.00
_cell_angle_beta 90.00
_cell_angle_gamma 90.00
loop_
_atom_site_label
_atom_site_type_symbol
_atom_site_fract_x
_atom_site_fract_y
_atom_site_fract_z
_atom_site_occupancy
Mn1 Mn 0.000 0.000 0.000 1
Os1 Os 0.500 0.500 0.500 1
S1 S 0.000 0.500 0.500 1
N1 N 0.500 0.500 0.000 1
# Calculated density (Mg/m³): 6.2
# Calculated volume (A^3/atom): 17.2

Q | # MnOsS2N PBE-GGA optimized geometry
data_MnOsS2N
_chemical_formula_sum 'Mn1 Os1 S2 N1'
_symmetry_space_group_name_H-M 'P 4/m m m'
_symmetry_Int_Tables_number 123
_symmetry_space_group_name_Hall '-P 4 2'
_cell_length_a 4.572
_cell_length_b 4.572
_cell_length_c 3.347
_cell_angle_alpha 90.00
_cell_angle_beta 90.00
_cell_angle_gamma 90.00
loop_
_atom_site_label
_atom_site_type_symbol
_atom_site_fract_x
_atom_site_fract_y
_atom_site_fract_z
_atom_site_occupancy
Mn1 Mn 0.000 0.000 0.000 1
Os1 Os 0.500 0.500 0.500 1
S1 S 0.000 0.500 0.000 1
N1 N 0.000 0.000 0.500 1
# Calculated density (Mg/m³): 7.7
# Calculated volume (A^3/atom): 14.0

Most stable one: P, least stable one: Q.

P | # MnPN PBE-GGA optimized geometry
data_MnPN
_chemical_formula_sum 'Mn1 P1 N1'
_symmetry_space_group_name_H-M 'P 3 m 1'
_symmetry_Int_Tables_number 156
_cell_length_a 2.9940
_cell_length_b 2.9940
_cell_length_c 4.1559
_cell_angle_alpha 90.00
_cell_angle_beta 90.00
_cell_angle_gamma 120.00
loop_
_symmetry_equiv_pos_as_xyz
'x,y,z'
'-y,x-y,z'
'-x+y,-x,z'
'-y,-x,z'
'-x+y,y,z'
'x,x-y,z'
loop_
_atom_site_label
_atom_site_type_symbol
_atom_site_fract_x
_atom_site_fract_y
_atom_site_fract_z
_atom_site_occupancy
Mn1 Mn 0.0000 0.0000 0.0000 1
P1 P 0.6667 0.3333 0.6562 1
N1 N 0.6667 0.3333 0.2554 1
# Calculated density (Mg/m³): 5.1
# Calculated volume (A^3/atom): 10.8

Q | # MnPN PBE-GGA optimized geometry
data_MnPN
_chemical_formula_sum 'Mn2 P2 N2'
_symmetry_space_group_name_H-M 'C 1 m 1'
_symmetry_Int_Tables_number 8
_cell_length_a 5.233
_cell_length_b 2.972
_cell_length_c 6.118
_cell_angle_alpha 90.00
_cell_angle_beta 107.16
_cell_angle_gamma 90.00
loop_
_symmetry_equiv_pos_as_xyz
'x,y,z'
'x,-y,z'
'x+1/2,y+1/2,z'
'x+1/2,-y+1/2,z'
loop_
_atom_site_label
_atom_site_type_symbol
_atom_site_fract_x
_atom_site_fract_y
_atom_site_fract_z
_atom_site_occupancy
Mn1 Mn 0.000 0.000 0.000 1
P1 P 0.074 0.500 0.729 1
N1 N 0.206 0.500 0.103 1
# Calculated density (Mg/m³): 3.7
# Calculated volume (A^3/atom): 15.2

Most stable one: P, least stable one: Q.

P | # MnPN PBE-GGA optimized geometry
data_MnPN
_chemical_formula_sum 'Mn1 P1 N1'
_symmetry_space_group_name_H-M 'P m m 2'
_symmetry_Int_Tables_number 25
_cell_length_a 2.624
_cell_length_b 2.764
_cell_length_c 4.088
_cell_angle_alpha 90.00
_cell_angle_beta 90.00
_cell_angle_gamma 90.00
loop_
_symmetry_equiv_pos_as_xyz
'x,y,z'
'-x,-y,z'
'-x,y,z'
'x,-y,z'
loop_
_atom_site_label
_atom_site_type_symbol
_atom_site_fract_x
_atom_site_fract_y
_atom_site_fract_z
_atom_site_occupancy
Mn1 Mn 0.000 0.000 0.000 1
P1 P 0.500 0.500 0.350 1
N1 N 0.000 0.500 0.647 1
# Calculated density (Mg/m³): 5.6
# Calculated volume (A^3/atom): 9.9

Q | # MnPN PBE-GGA optimized geometry
data_MnPN
_chemical_formula_sum 'Mn1 P1 N1'
_symmetry_space_group_name_H-M 'P 1 m 1'
_symmetry_Int_Tables_number 6
_cell_length_a 3.836
_cell_length_b 2.655
_cell_length_c 3.854
_cell_angle_alpha 90.00
_cell_angle_beta 109.13
_cell_angle_gamma 90.00
loop_
_symmetry_equiv_pos_as_xyz
'x,y,z'
'x,-y,z'
loop_
_atom_site_label
_atom_site_type_symbol
_atom_site_fract_x
_atom_site_fract_y
_atom_site_fract_z
_atom_site_occupancy
Mn1 Mn 0.000 0.000 0.000 1
P1 P 0.430 0.500 0.821 1
N1 N 0.192 0.000 0.543 1
# Calculated density (Mg/m³): 4.5
# Calculated volume (A^3/atom): 12.4

R | # MnPN PBE-GGA optimized geometry
data_MnPN
_chemical_formula_sum 'Mn2 P2 N2'
_symmetry_space_group_name_H-M 'A m m 2'
_symmetry_Int_Tables_number 38
_cell_length_a 2.599
_cell_length_b 3.159
_cell_length_c 8.244
_cell_angle_alpha 90.00
_cell_angle_beta 90.00
_cell_angle_gamma 90.00
loop_
_symmetry_equiv_pos_as_xyz
'x,y,z'
'-x,-y,z'
'-x,y,z'
'x,-y,z'
'x,y+1/2,z+1/2'
'-x,-y+1/2,z+1/2'
'-x,y+1/2,z+1/2'
'x,-y+1/2,z+1/2'
loop_
_atom_site_label
_atom_site_type_symbol
_atom_site_fract_x
_atom_site_fract_y
_atom_site_fract_z
_atom_site_occupancy
Mn1 Mn 0.000 0.000 0.000 1
P1 P 0.500 0.000 0.360 1
N1 N 0.500 0.000 0.162 1
# Calculated density (Mg/m³): 4.9
# Calculated volume (A^3/atom): 11.3

Most stable one: R, least stable one: P.